Entry a
A relaxed structure of MgCu2Mo, computed with PBE-GGA.

Structure (POSCAR):
```
MgCu2Mo
1.0
0.0000 3.0793 3.0793
3.0793 0.0000 3.0793
3.0793 3.0793 0.0000
Mg Cu Mo
1 2 1
direct
0.0000 0.0000 0.0000 Mg
0.2500 0.2500 0.2500 Cu
0.7500 0.7500 0.7500 Cu
0.5000 0.5000 0.5000 Mo
```

Summary:
Density of states at the Fermi level, states/eV per cell: 4.0
Size of the total moment, μB per atom: 0.384
Crystal system: cubic

---

Entry b
A relaxed structure of MgCu2Mo, computed with PBE-GGA.

Structure (POSCAR):
```
MgCu2Mo
1.0
1.3803 0.7969 8.9785
-1.3803 0.7969 8.9785
0.0000 -1.5938 8.9785
Mg Cu Mo
1 2 1
direct
0.0000 0.0000 0.0000 Mg
0.4916 0.4916 0.4916 Cu
0.7501 0.7501 0.7501 Cu
0.2401 0.2401 0.2401 Mo
```

Summary:
Density of states at the Fermi level, states/eV per cell: 3.5
Size of the total moment, μB per atom: 0.000
Crystal system: trigonal

---

Stability comparison, relative energies in meV per atom: entry a 12; entry b 0

---

Entry a
A relaxed structure of Mg6CuMo, computed with PBE-GGA.

Structure (POSCAR):
```
Mg6CuMo
1.0
4.3529 0.0000 0.0000
0.0000 3.8200 4.6487
0.0000 -3.8200 4.6487
Mg Cu Mo
6 1 1
direct
0.0000 0.0000 0.0000 Mg
0.0000 0.0898 0.4969 Mg
0.0000 0.4969 0.0898 Mg
0.5000 0.2952 0.8228 Mg
0.5000 0.7774 0.7774 Mg
0.5000 0.8228 0.2952 Mg
0.5000 0.3824 0.3824 Cu
0.0000 0.5635 0.5635 Mo
```

Summary:
Density of states at the Fermi level, states/eV per cell: 2.7
Size of the total moment, μB per atom: 0.000
Crystal system: orthorhombic

---

Entry b
A relaxed structure of Mg6CuMo, computed with PBE-GGA.

Structure (POSCAR):
```
Mg6CuMo
1.0
4.7431 0.0000 0.0000
0.0000 3.0288 5.2804
0.0000 -3.0288 5.2804
Mg Cu Mo
6 1 1
direct
0.0000 0.0000 0.0000 Mg
0.0000 0.4888 0.9748 Mg
0.0000 0.4960 0.4960 Mg
0.0000 0.9748 0.4888 Mg
0.5000 0.1512 0.6474 Mg
0.5000 0.6474 0.1512 Mg
0.5000 0.1546 0.1546 Cu
0.5000 0.6487 0.6487 Mo
```

Summary:
Density of states at the Fermi level, states/eV per cell: 4.0
Size of the total moment, μB per atom: 0.000
Crystal system: orthorhombic

---

Stability comparison, relative energies in meV per atom: entry a 0; entry b 51

---

Entry a
A relaxed structure of Mg3CuMo, computed with PBE-GGA.

Structure (POSCAR):
```
Mg3CuMo
1.0
4.6409 0.0000 0.0000
0.0000 4.6409 0.0000
0.0000 0.0000 4.6409
Mg Cu Mo
3 1 1
direct
0.0000 0.0000 0.5000 Mg
0.0000 0.5000 0.0000 Mg
0.5000 0.0000 0.0000 Mg
0.0000 0.0000 0.0000 Cu
0.5000 0.5000 0.5000 Mo
```

Summary:
Density of states at the Fermi level, states/eV per cell: 7.5
Size of the total moment, μB per atom: 0.000
Crystal system: cubic

---

Entry b
A relaxed structure of Mg3CuMo, computed with PBE-GGA.

Structure (POSCAR):
```
Mg3CuMo
1.0
5.2098 0.0000 0.0000
0.0000 5.2098 0.0000
0.0000 0.0000 5.2098
Mg Cu Mo
3 1 1
direct
0.0000 0.0000 0.5000 Mg
0.0000 0.5000 0.0000 Mg
0.5000 0.0000 0.0000 Mg
0.5000 0.5000 0.5000 Cu
0.0000 0.0000 0.0000 Mo
```

Summary:
Density of states at the Fermi level, states/eV per cell: 5.6
Size of the total moment, μB per atom: 0.530
Crystal system: cubic

---

Stability comparison, relative energies in meV per atom: entry a 0; entry b 495

---

Entry a
A relaxed structure of MgCu3N, computed with PBE-GGA.

Structure (POSCAR):
```
MgCu3N
1.0
3.9899 0.0000 0.0000
0.0000 3.9899 0.0000
0.0000 0.0000 3.9899
Mg Cu N
1 3 1
direct
0.0000 0.0000 0.0000 Mg
0.0000 0.5000 0.5000 Cu
0.5000 0.0000 0.5000 Cu
0.5000 0.5000 0.0000 Cu
0.5000 0.5000 0.5000 N
```

Summary:
Density of states at the Fermi level, states/eV per cell: 2.2
Size of the total moment, μB per atom: 0.000
Crystal system: cubic

---

Entry b
A relaxed structure of MgCu3N, computed with PBE-GGA.

Structure (POSCAR):
```
MgCu3N
1.0
4.4618 0.0000 0.0000
0.0000 4.4618 0.0000
0.0000 0.0000 4.4618
Mg Cu N
1 3 1
direct
0.0000 0.0000 0.0000 Mg
0.0000 0.0000 0.5000 Cu
0.0000 0.5000 0.0000 Cu
0.5000 0.0000 0.0000 Cu
0.5000 0.5000 0.5000 N
```

Summary:
Density of states at the Fermi level, states/eV per cell: 0.0
Size of the total moment, μB per atom: 0.000
Crystal system: cubic

---

Stability comparison, relative energies in meV per atom: entry a 0; entry b 1789

---

Entry a
A relaxed structure of MgCu2N, computed with PBE-GGA.

Structure (POSCAR):
```
MgCu2N
1.0
-2.3977 2.3977 5.6353
2.3977 -2.3977 5.6353
2.3977 2.3977 -5.6353
Mg Cu N
2 4 2
direct
0.0000 0.0000 0.0000 Mg
0.7500 0.2500 0.5000 Mg
0.3389 0.6250 0.2139 Cu
0.3750 0.5889 0.7139 Cu
0.4111 0.1250 0.7861 Cu
0.8750 0.6611 0.2861 Cu
0.2500 0.7500 0.5000 N
0.5000 0.5000 0.0000 N
```

Summary:
Density of states at the Fermi level, states/eV per cell: 4.9
Size of the total moment, μB per atom: 0.000
Crystal system: tetragonal

---

Entry b
A relaxed structure of MgCu2N, computed with PBE-GGA.

Structure (POSCAR):
```
MgCu2N
1.0
0.0000 2.8805 2.8805
2.8805 0.0000 2.8805
2.8805 2.8805 0.0000
Mg Cu N
1 2 1
direct
0.0000 0.0000 0.0000 Mg
0.2500 0.2500 0.2500 Cu
0.7500 0.7500 0.7500 Cu
0.5000 0.5000 0.5000 N
```

Summary:
Density of states at the Fermi level, states/eV per cell: 1.5
Size of the total moment, μB per atom: 0.000
Crystal system: cubic

---

Stability comparison, relative energies in meV per atom: entry a 0; entry b 451

---

Entry a
A relaxed structure of Mg3CuN, computed with PBE-GGA.

Structure (POSCAR):
```
Mg3CuN
1.0
4.8187 0.0000 0.0000
0.0000 4.8187 0.0000
0.0000 0.0000 4.8187
Mg Cu N
3 1 1
direct
0.0000 0.0000 0.5000 Mg
0.0000 0.5000 0.0000 Mg
0.5000 0.0000 0.0000 Mg
0.0000 0.0000 0.0000 Cu
0.5000 0.5000 0.5000 N
```

Summary:
Density of states at the Fermi level, states/eV per cell: 2.2
Size of the total moment, μB per atom: 0.336
Crystal system: cubic

---

Entry b
A relaxed structure of Mg3CuN, computed with PBE-GGA.

Structure (POSCAR):
```
Mg3CuN
1.0
4.2343 0.0000 0.0000
0.0000 4.2343 0.0000
0.0000 0.0000 4.2343
Mg Cu N
3 1 1
direct
0.0000 0.0000 0.5000 Mg
0.0000 0.5000 0.0000 Mg
0.5000 0.0000 0.0000 Mg
0.5000 0.5000 0.5000 Cu
0.0000 0.0000 0.0000 N
```

Summary:
Density of states at the Fermi level, states/eV per cell: 1.4
Size of the total moment, μB per atom: 0.000
Crystal system: cubic

---

Stability comparison, relative energies in meV per atom: entry a 1303; entry b 0